# 1
{
  "formula": "HfCd3Hg",
  "functional": "PBE",
  "state": "relaxed",
  "polymorph_energy_ev_per_fu": 4.22,
  "dos_at_fermi_per_ev_fu": 6.0,
  "e_form_ev_per_atom": 0.88,
  "total_energy_ev_per_atom": -1.717,
  "m_tot_mub_per_fu": 0.00,
  "lattice_angstrom": [[5.224, 0.000, 0.000], [0.000, 5.224, 0.000], [0.000, 0.000, 5.224]],
  "species": ["Hf", "Cd", "Cd", "Cd", "Hg"],
  "frac_coords": [[0.000, 0.000, 0.000], [0.000, 0.500, 0.500], [0.500, 0.000, 0.500], [0.500, 0.500, 0.000], [0.500, 0.500, 0.500]]
}

---

# 2
{
  "formula": "Hf3CdHg",
  "functional": "PBE",
  "state": "relaxed",
  "polymorph_energy_ev_per_fu": 0.00,
  "dos_at_fermi_per_ev_fu": 4.3,
  "e_form_ev_per_atom": 0.28,
  "total_energy_ev_per_atom": -5.932,
  "m_tot_mub_per_fu": 0.00,
  "lattice_angstrom": [[2.864, -7.642, 0.000], [2.864, 7.642, 0.000], [0.000, 0.000, 5.353]],
  "species": ["Hf", "Hf", "Hf", "Hf", "Hf", "Hf", "Cd", "Cd", "Hg", "Hg"],
  "frac_coords": [[0.000, 0.000, 0.000], [0.000, 0.000, 0.500], [0.087, 0.404, 0.250], [0.404, 0.087, 0.750], [0.596, 0.913, 0.250], [0.913, 0.596, 0.750], [0.450, 0.550, 0.750], [0.550, 0.450, 0.250], [0.174, 0.826, 0.250], [0.826, 0.174, 0.750]]
}

---

# 3
{
  "formula": "Hf2Cd2Hg",
  "functional": "PBE",
  "state": "relaxed",
  "polymorph_energy_ev_per_fu": 2.08,
  "dos_at_fermi_per_ev_fu": 6.9,
  "e_form_ev_per_atom": 0.44,
  "total_energy_ev_per_atom": -3.963,
  "m_tot_mub_per_fu": 1.48,
  "lattice_angstrom": [[-1.967, 1.967, 7.663], [1.967, -1.967, 7.663], [1.967, 1.967, -7.663]],
  "species": ["Hf", "Hf", "Cd", "Cd", "Hg"],
  "frac_coords": [[0.092, 0.092, 0.000], [0.908, 0.908, 0.000], [0.250, 0.750, 0.500], [0.750, 0.250, 0.500], [0.500, 0.500, 0.000]]
}

---

# 4
{
  "formula": "Hf2Cd2Hg",
  "functional": "PBE",
  "state": "relaxed",
  "polymorph_energy_ev_per_fu": 0.00,
  "dos_at_fermi_per_ev_fu": 3.2,
  "e_form_ev_per_atom": 0.03,
  "total_energy_ev_per_atom": -4.379,
  "m_tot_mub_per_fu": 0.00,
  "lattice_angstrom": [[1.617, -13.442, 0.000], [1.617, 13.442, 0.000], [0.000, 0.000, 5.213]],
  "species": ["Hf", "Hf", "Hf", "Hf", "Cd", "Cd", "Cd", "Cd", "Hg", "Hg"],
  "frac_coords": [[0.032, 0.968, 0.750], [0.437, 0.563, 0.750], [0.563, 0.437, 0.250], [0.968, 0.032, 0.250], [0.163, 0.837, 0.250], [0.368, 0.632, 0.250], [0.632, 0.368, 0.750], [0.837, 0.163, 0.750], [0.233, 0.767, 0.750], [0.767, 0.233, 0.250]]
}

---

# 5
{
  "formula": "HfCdHg",
  "functional": "PBE",
  "state": "relaxed",
  "dos_at_fermi_per_ev_fu": 1.8,
  "e_form_ev_per_atom": -0.04,
  "total_energy_ev_per_atom": -3.759,
  "m_tot_mub_per_fu": 0.00,
  "lattice_angstrom": [[3.237, 0.000, 0.000], [0.000, 3.237, 0.000], [0.000, 0.000, 12.547]],
  "species": ["Hf", "Hf", "Cd", "Cd", "Hg", "Hg"],
  "frac_coords": [[0.250, 0.250, 0.083], [0.750, 0.750, 0.917], [0.250, 0.250, 0.417], [0.750, 0.750, 0.583], [0.250, 0.250, 0.749], [0.750, 0.750, 0.251]]
}

---

# 6
{
  "formula": "Hf2Cd2Hg",
  "functional": "PBE",
  "state": "relaxed",
  "polymorph_energy_ev_per_fu": 0.98,
  "dos_at_fermi_per_ev_fu": 2.9,
  "e_form_ev_per_atom": 0.22,
  "total_energy_ev_per_atom": -4.184,
  "m_tot_mub_per_fu": 0.00,
  "lattice_angstrom": [[7.978, 0.000, 0.000], [0.000, 7.978, 0.000], [0.000, 0.000, 3.433]],
  "species": ["Hf", "Hf", "Hf", "Hf", "Cd", "Cd", "Cd", "Cd", "Hg", "Hg"],
  "frac_coords": [[0.172, 0.328, 0.000], [0.328, 0.828, 0.000], [0.672, 0.172, 0.000], [0.828, 0.672, 0.000], [0.127, 0.627, 0.500], [0.373, 0.127, 0.500], [0.627, 0.873, 0.500], [0.873, 0.373, 0.500], [0.000, 0.000, 0.500], [0.500, 0.500, 0.500]]
}

---

# 7
{
  "formula": "HfCd2Hg",
  "functional": "PBE",
  "state": "relaxed",
  "dos_at_fermi_per_ev_fu": 2.8,
  "e_form_ev_per_atom": 0.30,
  "total_energy_ev_per_atom": -2.718,
  "m_tot_mub_per_fu": 0.00,
  "lattice_angstrom": [[1.558, 0.899, 11.214], [-1.558, 0.899, 11.214], [0.000, -1.798, 11.214]],
  "species": ["Hf", "Cd", "Cd", "Hg"],
  "frac_coords": [[0.000, 0.000, 0.000], [0.088, 0.088, 0.088], [0.912, 0.912, 0.912], [0.500, 0.500, 0.500]]
}

---

# 8
{
  "formula": "HfCdHg",
  "functional": "PBE",
  "state": "relaxed",
  "dos_at_fermi_per_ev_fu": 2.5,
  "e_form_ev_per_atom": 0.26,
  "total_energy_ev_per_atom": -3.468,
  "m_tot_mub_per_fu": 0.00,
  "lattice_angstrom": [[1.510, -8.146, 0.000], [1.510, 8.146, 0.000], [0.000, 0.000, 5.535]],
  "species": ["Hf", "Hf", "Cd", "Cd", "Hg", "Hg"],
  "frac_coords": [[0.178, 0.822, 0.750], [0.822, 0.178, 0.250], [0.354, 0.646, 0.750], [0.646, 0.354, 0.250], [0.000, 0.000, 0.000], [0.000, 0.000, 0.500]]
}

---

# 9
{
  "formula": "HfCdHg3",
  "functional": "PBE",
  "state": "relaxed",
  "polymorph_energy_ev_per_fu": 0.00,
  "dos_at_fermi_per_ev_fu": 8.3,
  "e_form_ev_per_atom": 0.60,
  "total_energy_ev_per_atom": -1.750,
  "m_tot_mub_per_fu": 0.00,
  "lattice_angstrom": [[5.616, 0.000, 0.000], [0.000, 5.616, 0.000], [0.000, 0.000, 5.616]],
  "species": ["Hf", "Cd", "Hg", "Hg", "Hg"],
  "frac_coords": [[0.000, 0.000, 0.000], [0.500, 0.500, 0.500], [0.000, 0.000, 0.500], [0.000, 0.500, 0.000], [0.500, 0.000, 0.000]]
}

---

# 10
{
  "formula": "HfCd2Hg",
  "functional": "PBE",
  "state": "relaxed",
  "dos_at_fermi_per_ev_fu": 1.6,
  "e_form_ev_per_atom": 0.30,
  "total_energy_ev_per_atom": -2.726,
  "m_tot_mub_per_fu": 0.00,
  "lattice_angstrom": [[-3.984, 3.984, 2.977], [3.984, -3.984, 2.977], [3.984, 3.984, -2.977]],
  "species": ["Hf", "Hf", "Cd", "Cd", "Cd", "Cd", "Hg", "Hg"],
  "frac_coords": [[0.000, 0.000, 0.000], [0.750, 0.250, 0.500], [0.135, 0.625, 0.010], [0.375, 0.385, 0.510], [0.615, 0.125, 0.990], [0.875, 0.865, 0.490], [0.250, 0.750, 0.500], [0.500, 0.500, 0.000]]
}

---

# 11
{
  "formula": "HfCd3Hg",
  "functional": "PBE",
  "state": "relaxed",
  "polymorph_energy_ev_per_fu": 0.00,
  "dos_at_fermi_per_ev_fu": 3.0,
  "e_form_ev_per_atom": 0.04,
  "total_energy_ev_per_atom": -2.561,
  "m_tot_mub_per_fu": 0.00,
  "lattice_angstrom": [[3.172, 0.000, 0.000], [1.585, 7.686, 0.000], [1.500, 1.973, 9.849]],
  "species": ["Hf", "Hf", "Cd", "Cd", "Cd", "Cd", "Cd", "Cd", "Hg", "Hg"],
  "frac_coords": [[0.212, 0.455, 0.128], [0.788, 0.545, 0.872], [0.138, 0.904, 0.812], [0.351, 0.679, 0.601], [0.442, 0.193, 0.920], [0.558, 0.807, 0.080], [0.649, 0.321, 0.399], [0.862, 0.096, 0.188], [0.036, 0.292, 0.652], [0.964, 0.708, 0.348]]
}

---

# 12
{
  "formula": "Hf2Cd2Hg",
  "functional": "PBE",
  "state": "relaxed",
  "polymorph_energy_ev_per_fu": 1.31,
  "dos_at_fermi_per_ev_fu": 4.7,
  "e_form_ev_per_atom": 0.29,
  "total_energy_ev_per_atom": -4.117,
  "m_tot_mub_per_fu": 0.00,
  "lattice_angstrom": [[8.385, 0.000, 0.000], [0.000, 8.385, 0.000], [0.000, 0.000, 3.331]],
  "species": ["Hf", "Hf", "Hf", "Hf", "Cd", "Cd", "Cd", "Cd", "Hg", "Hg"],
  "frac_coords": [[0.126, 0.374, 0.000], [0.374, 0.874, 0.000], [0.626, 0.126, 0.000], [0.874, 0.626, 0.000], [0.172, 0.672, 0.500], [0.328, 0.172, 0.500], [0.672, 0.828, 0.500], [0.828, 0.328, 0.500], [0.000, 0.000, 0.000], [0.500, 0.500, 0.000]]
}